No. 1
Ho3ErS4: relaxed, PBE-GGA.

```
Ho3ErS4
1.0
3.908 -5.488 0.000
3.908 5.488 0.000
0.000 0.000 3.846
Ho Er S
3 1 4
Direct
0.000 0.000 0.000
0.000 0.500 0.500
0.500 0.000 0.500
0.500 0.500 0.000
0.251 0.251 0.500
0.251 0.749 0.000
0.749 0.251 0.000
0.749 0.749 0.500
```

## Properties
The uncorrected formation energy comes out at -1.97 eV per atom. Its total energy is -6.317 eV/atom. The density of states at the Fermi level comes out at 0.595 states/eV/atom. As for the space group: Cmmm. The calculation puts the energy above the most stable polymorph in this dataset at 0 meV per atom.

***

No. 2
NaInW3: relaxed, PBE-GGA.

```
NaInW3
1.0
4.578 0.000 0.000
0.000 4.578 0.000
0.000 0.000 4.578
Na In W
1 1 3
Direct
0.000 0.000 0.000
0.500 0.500 0.500
0.000 0.000 0.500
0.000 0.500 0.000
0.500 0.000 0.000
```

## Properties
Its total energy is -5.750 eV/atom. The value obtained for the formation energy is 2.834 eV/atom. The density of states at the Fermi level comes out at 1.206 states/eV/atom. As for the space group: Pm-3m. The calculation puts the energy above the most stable polymorph in this dataset at 0 meV per atom.

***

No. 3
KFeBi2Au: relaxed, PBE-GGA.

```
KFeBi2Au
1.0
5.846 0.000 0.000
0.000 5.846 0.000
0.000 0.000 4.347
K Fe Bi Au
1 1 2 1
Direct
0.000 0.000 0.000
0.000 0.000 0.500
0.000 0.500 0.000
0.500 0.000 0.000
0.500 0.500 0.500
```

## Properties
Its total energy is -2.259 eV/atom. The value obtained for the formation energy is 1.861 eV/atom. The density of states at the Fermi level comes out at 1.306 states/eV/atom. As for the space group: P4/mmm.

***

No. 4
Ca4CeHo3Se8: relaxed, PBE-GGA.

```
Ca4CeHo3Se8
1.0
4.119 2.378 6.864
-4.119 2.378 6.864
0.000 -4.756 6.864
Ca Ce Ho Se
4 1 3 8
Direct
0.000 0.000 0.000
0.000 0.500 0.500
0.500 0.000 0.500
0.500 0.500 0.000
0.500 0.500 0.500
0.000 0.000 0.500
0.000 0.500 0.000
0.500 0.000 0.000
0.243 0.753 0.753
0.247 0.247 0.757
0.247 0.757 0.247
0.248 0.248 0.248
0.752 0.752 0.752
0.753 0.243 0.753
0.753 0.753 0.243
0.757 0.247 0.247
```

## Properties
The uncorrected formation energy comes out at -1.86 eV per atom. Its total energy is -5.331 eV/atom. The density of states at the Fermi level comes out at 0.620 states/eV/atom. As for the space group: R-3m.